Record 1
CaFe2Cl: relaxed, PBE.

Calculated values
Space group: I4/mmm (139)

The structure in POSCAR format:
```
CaFe2Cl
1.0
3.658 0.000 0.000
0.000 3.658 0.000
0.000 0.000 12.110
Ca Fe Cl
2 4 2
direct
0.000 0.000 0.000 Ca
0.500 0.500 0.500 Ca
0.000 0.500 0.250 Fe
0.000 0.500 0.750 Fe
0.500 0.000 0.250 Fe
0.500 0.000 0.750 Fe
0.000 0.000 0.500 Cl
0.500 0.500 0.000 Cl
```

***

Record 2
CaFe2Cl: relaxed, PBE.

Calculated values
Space group: Pmmm (47)

The structure in POSCAR format:
```
CaFe2Cl
1.0
3.269 0.000 0.000
0.000 4.997 0.000
0.000 0.000 5.207
Ca Fe Cl
1 2 1
direct
0.000 0.000 0.000 Ca
0.500 0.500 0.210 Fe
0.500 0.500 0.790 Fe
0.000 0.000 0.500 Cl
```

***

Record 3
CaFe2Cl8: relaxed, PBE.

Calculated values
Space group: C2/c (15)

The structure in POSCAR format:
```
CaFe2Cl8
1.0
9.007 -4.452 0.000
9.007 4.452 0.000
-7.879 0.000 9.531
Ca Fe Cl
2 4 16
direct
0.002 0.998 0.750 Ca
0.998 0.002 0.250 Ca
0.156 0.665 0.962 Fe
0.335 0.844 0.538 Fe
0.665 0.156 0.462 Fe
0.844 0.335 0.038 Fe
0.113 0.210 0.027 Cl
0.130 0.681 0.776 Cl
0.159 0.718 0.337 Cl
0.210 0.113 0.527 Cl
0.282 0.841 0.163 Cl
0.305 0.393 0.953 Cl
0.319 0.870 0.724 Cl
0.393 0.305 0.453 Cl
0.607 0.695 0.547 Cl
0.681 0.130 0.276 Cl
0.695 0.607 0.047 Cl
0.718 0.159 0.837 Cl
0.790 0.887 0.473 Cl
0.841 0.282 0.663 Cl
0.870 0.319 0.224 Cl
0.887 0.790 0.973 Cl
```

***

Record 4
Ca2FeICl: relaxed, PBE.

Calculated values
Space group: P4/mmm (123)

The structure in POSCAR format:
```
Ca2FeICl
1.0
5.273 0.000 0.000
0.000 5.273 0.000
0.000 0.000 6.369
Ca Fe I Cl
2 1 1 1
direct
0.000 0.500 0.000 Ca
0.500 0.000 0.000 Ca
0.000 0.000 0.500 Fe
0.500 0.500 0.500 I
0.500 0.500 0.000 Cl
```

***

Record 5
CaInFe2Cl8: relaxed, PBE.

Calculated values
Space group: P-3 (147)

The structure in POSCAR format:
```
CaInFe2Cl8
1.0
6.545 0.000 0.000
-3.273 5.668 0.000
0.000 0.000 9.572
Ca In Fe Cl
1 1 2 8
direct
0.000 0.000 0.000 Ca
0.000 0.000 0.500 In
0.333 0.667 0.254 Fe
0.667 0.333 0.746 Fe
0.009 0.332 0.181 Cl
0.323 0.991 0.181 Cl
0.332 0.323 0.819 Cl
0.333 0.667 0.485 Cl
0.667 0.333 0.515 Cl
0.668 0.677 0.181 Cl
0.677 0.009 0.819 Cl
0.991 0.668 0.819 Cl
```

***

Record 6
KCaFeCl5: relaxed, PBE.

Calculated values
Space group: C2/c (15)

The structure in POSCAR format:
```
KCaFeCl5
1.0
4.495 -5.989 0.000
4.495 5.989 0.000
-3.891 0.000 9.049
K Ca Fe Cl
2 2 2 10
direct
0.158 0.842 0.750 K
0.842 0.158 0.250 K
0.500 0.500 0.000 Ca
0.500 0.500 0.500 Ca
0.182 0.818 0.250 Fe
0.818 0.182 0.750 Fe
0.112 0.242 0.927 Cl
0.175 0.593 0.375 Cl
0.242 0.112 0.427 Cl
0.407 0.825 0.125 Cl
0.414 0.586 0.750 Cl
0.586 0.414 0.250 Cl
0.593 0.175 0.875 Cl
0.758 0.888 0.573 Cl
0.825 0.407 0.625 Cl
0.888 0.758 0.073 Cl
```

***

Record 7
Ca2LaFeCl: relaxed, PBE.

Calculated values
Space group: P4/mmm (123)

The structure in POSCAR format:
```
Ca2LaFeCl
1.0
5.187 0.000 0.000
0.000 5.187 0.000
0.000 0.000 5.649
Ca La Fe Cl
2 1 1 1
direct
0.000 0.500 0.000 Ca
0.500 0.000 0.000 Ca
0.000 0.000 0.500 La
0.500 0.500 0.500 Fe
0.000 0.000 0.000 Cl
```

***

Record 8
Ca2MnFeCl: relaxed, PBE.

Calculated values
Space group: P4/mmm (123)

The structure in POSCAR format:
```
Ca2MnFeCl
1.0
5.643 0.000 0.000
0.000 5.643 0.000
0.000 0.000 4.144
Ca Mn Fe Cl
2 1 1 1
direct
0.000 0.500 0.000 Ca
0.500 0.000 0.000 Ca
0.000 0.000 0.500 Mn
0.500 0.500 0.000 Fe
0.500 0.500 0.500 Cl
```

***

Record 9
NaCaFe2Cl8: relaxed, PBE.

Calculated values
Space group: P-3 (147)

The structure in POSCAR format:
```
NaCaFe2Cl8
1.0
6.571 0.000 0.000
-3.286 5.691 0.000
0.000 0.000 9.370
Na Ca Fe Cl
1 1 2 8
direct
0.000 0.000 0.000 Na
0.000 0.000 0.500 Ca
0.333 0.667 0.761 Fe
0.667 0.333 0.239 Fe
0.014 0.329 0.687 Cl
0.316 0.986 0.687 Cl
0.329 0.316 0.313 Cl
0.333 0.667 0.995 Cl
0.667 0.333 0.005 Cl
0.671 0.684 0.687 Cl
0.684 0.014 0.313 Cl
0.986 0.671 0.313 Cl
```

***

Record 10
NaCaFeCl5: relaxed, PBE.

Calculated values
Space group: C2/c (15)

The structure in POSCAR format:
```
NaCaFeCl5
1.0
4.391 -5.733 0.000
4.391 5.733 0.000
-3.931 0.000 8.970
Na Ca Fe Cl
2 2 2 10
direct
0.156 0.844 0.750 Na
0.844 0.156 0.250 Na
0.500 0.500 0.000 Ca
0.500 0.500 0.500 Ca
0.177 0.823 0.250 Fe
0.823 0.177 0.750 Fe
0.116 0.217 0.932 Cl
0.157 0.569 0.355 Cl
0.217 0.116 0.432 Cl
0.398 0.602 0.750 Cl
0.431 0.843 0.145 Cl
0.569 0.157 0.855 Cl
0.602 0.398 0.250 Cl
0.783 0.884 0.568 Cl
0.843 0.431 0.645 Cl
0.884 0.783 0.068 Cl
```

***

Record 11
CaFe2NiCl: relaxed, PBE.

Calculated values
Space group: P4/mmm (123)

The structure in POSCAR format:
```
CaFe2NiCl
1.0
4.436 0.000 0.000
0.000 4.436 0.000
0.000 0.000 5.242
Ca Fe Ni Cl
1 2 1 1
direct
0.000 0.000 0.000 Ca
0.000 0.500 0.500 Fe
0.500 0.000 0.500 Fe
0.500 0.500 0.500 Ni
0.500 0.500 0.000 Cl
```

***

Record 12
CaFe2NiCl: relaxed, PBE.

Calculated values
Space group: P4/mmm (123)

The structure in POSCAR format:
```
CaFe2NiCl
1.0
4.191 0.000 0.000
0.000 4.191 0.000
0.000 0.000 5.105
Ca Fe Ni Cl
1 2 1 1
direct
0.000 0.000 0.000 Ca
0.000 0.500 0.500 Fe
0.500 0.000 0.500 Fe
0.500 0.500 0.000 Ni
0.000 0.000 0.500 Cl
```

***

Per-record energy relative to the elements, uncorrected, eV per atom: 0.057 0.342 -1.207 -0.015 -1.165 -1.653 -0.043 0.413 -1.283 -1.579 0.431 0.601